{"formula": "Nd2Be2NiO6", "functional": "GGA+U", "state": "optimized geometry", "dos_at_fermi_per_ev_fu": 0.00, "final_energy_ev_per_fu": -76.98, "cell": [[2.635, 1.521, 5.203], [-2.635, 1.521, 5.203], [0.000, -3.043, 5.203]], "species": ["Nd", "Nd", "Be", "Be", "Ni", "O", "O", "O", "O", "O", "O"], "frac_coords": [[0.215, 0.215, 0.215], [0.785, 0.785, 0.785], [0.423, 0.423, 0.423], [0.577, 0.577, 0.577], [0.000, 0.000, 0.000], [0.244, 0.744, 0.744], [0.256, 0.256, 0.756], [0.256, 0.756, 0.256], [0.744, 0.244, 0.744], [0.744, 0.744, 0.244], [0.756, 0.256, 0.256]]}